## Pm3Nd5Tm4 (PBE)

Data for crystalline Pm3Nd5Tm4 at its relaxed geometry.

abc: 9.7436 5.8660 15.1278
angles: 90.00 108.72 90.00
With the nearest neighbours (Å) after each atom.
Space group C2/m (No. 12)
Unique sites:
Pm1 0.0000 0.0000 0.0000 x2  2 Nd 2.93, 2 Tm 3.24
Pm2 0.2057 0.5000 0.2501 x4  5 Nd 3.31-3.67, 4 Tm 3.53-3.70
Nd1 0.0000 0.5000 0.0000 x2  2 Pm 2.93, 2 Tm 3.23
Nd2 0.0455 0.0000 0.2498 x4  4 Pm 3.31-3.66, 4 Tm 3.52-3.70, 1 Nd 3.58
Nd3 0.1693 0.0000 0.5000 x4  4 Nd 3.30-3.58, 1 Pm 3.58, 2 Tm 3.67
Tm1 0.0609 0.5000 0.6223 x4  2 Tm 3.28-3.50, 2 Nd 3.67
Tm2 0.1753 0.5000 0.8515 x4  2 Nd 3.23-3.52, 2 Pm 3.24-3.53, 1 Tm 3.28

Properties
The calculation puts the volume at 34.1 A^3/atom. The total energy is -4.444 eV/atom. The value obtained for the magnetization is 0.2 Bohr magnetons per cell. The value obtained for the energy relative to the elements is 0.2206 eV/atom.